Record 1
Entry from Alexandria: a geometry-optimized KZrTa2 structure (PBE).

```
data_KZrTa2
_cell_length_a 2.8795
_cell_length_b 4.9397
_cell_length_c 7.7219
_cell_angle_alpha 90.00
_cell_angle_beta 96.89
_cell_angle_gamma 90.00
_space_group_name_H-M_alt 'P 1 2/m 1'
_space_group_IT_number 10
loop_
_space_group_symop_operation_xyz
'x,y,z'
'-x,-y,-z'
'-x,y,-z'
'x,-y,z'
loop_
_atom_site_label
_atom_site_type_symbol
_atom_site_fract_x
_atom_site_fract_y
_atom_site_fract_z
_atom_site_occupancy
K1 K 0.0000 0.0000 0.0000 1
Zr1 Zr 0.0000 0.0000 0.5000 1
Ta1 Ta 0.4065 0.5000 0.6576 1
```

Results
DOS(E_F) = 5.67 states/eV/f.u.
magnetic moment = 0.00 μB/cell
mass density = 7.50 g/cm3
formation energy = 847 meV/atom
E above lowest polymorph = 0.306 eV per atom

---

Record 2
Entry from Alexandria: a geometry-optimized YPHN2 structure (PBE).

```
data_YPHN2
_cell_length_a 4.4459
_cell_length_b 4.4459
_cell_length_c 3.8262
_cell_angle_alpha 90.00
_cell_angle_beta 90.00
_cell_angle_gamma 90.00
_space_group_name_H-M_alt 'P 4/m m m'
_space_group_IT_number 123
_space_group_name_Hall '-P 4 2'
loop_
_atom_site_label
_atom_site_type_symbol
_atom_site_fract_x
_atom_site_fract_y
_atom_site_fract_z
_atom_site_occupancy
Y1 Y 0.0000 0.0000 0.0000 1
P1 P 0.5000 0.5000 0.5000 1
H1 H 0.0000 0.0000 0.5000 1
N1 N 0.0000 0.5000 0.0000 1
```

Results
uncorrected energy = -26.1 eV per formula unit
DOS(E_F) = 2.16 states/eV/f.u.
magnetic moment = 1.00 μB/cell
mass density = 3.27 g/cm3

---

Record 3
Entry from Alexandria: a geometry-optimized YLuFeNi structure (PBE).

```
data_YLuFeNi
_cell_length_a 6.6310
_cell_length_b 6.6310
_cell_length_c 6.6310
_cell_angle_alpha 90.00
_cell_angle_beta 90.00
_cell_angle_gamma 90.00
_space_group_name_H-M_alt 'F -4 3 m'
_space_group_IT_number 216
_space_group_name_Hall 'F -4 2 3'
loop_
_atom_site_label
_atom_site_type_symbol
_atom_site_fract_x
_atom_site_fract_y
_atom_site_fract_z
_atom_site_occupancy
Y1 Y 0.0000 0.0000 0.0000 1
Lu1 Lu 0.0000 0.0000 0.5000 1
Fe1 Fe 0.2500 0.2500 0.2500 1
Ni1 Ni 0.2500 0.2500 0.7500 1
```

Results
DOS(E_F) = 2.23 states/eV/f.u.
magnetic moment = 0.08 μB/cell
mass density = 8.62 g/cm3
formation energy = -113 meV/atom

---

Record 4
Entry from Alexandria: a geometry-optimized Sr3NdAl8 structure (PBE).

```
data_Sr3NdAl8
_cell_length_a 5.7960
_cell_length_b 5.7960
_cell_length_c 28.5498
_cell_angle_alpha 90.00
_cell_angle_beta 90.00
_cell_angle_gamma 120.00
_space_group_name_H-M_alt 'R 3 m'
_space_group_IT_number 160
_space_group_name_Hall 'R 3 -2"'
loop_
_atom_site_label
_atom_site_type_symbol
_atom_site_fract_x
_atom_site_fract_y
_atom_site_fract_z
_atom_site_occupancy
Sr1 Sr 0.0000 0.0000 0.0000 1
Sr2 Sr 0.0000 0.0000 0.1249 1
Sr3 Sr 0.0000 0.0000 0.6252 1
Nd1 Nd 0.0000 0.0000 0.4996 1
Al1 Al 0.0000 0.0000 0.3125 1
Al2 Al 0.0000 0.0000 0.8127 1
Al3 Al 0.0028 0.5014 0.0638 1
Al4 Al 0.1672 0.3343 0.8944 1
```

Results
DOS(E_F) = 5.89 states/eV/f.u.
magnetic moment = 0.00 μB/cell
mass density = 3.74 g/cm3
formation energy = -311 meV/atom

---

Record 5
Entry from Alexandria: a geometry-optimized Cu2BOsPd structure (PBE).

```
data_Cu2BOsPd
_cell_length_a 4.6591
_cell_length_b 4.6591
_cell_length_c 3.8971
_cell_angle_alpha 90.00
_cell_angle_beta 90.00
_cell_angle_gamma 90.00
_space_group_name_H-M_alt 'P 4/m m m'
_space_group_IT_number 123
_space_group_name_Hall '-P 4 2'
loop_
_atom_site_label
_atom_site_type_symbol
_atom_site_fract_x
_atom_site_fract_y
_atom_site_fract_z
_atom_site_occupancy
Cu1 Cu 0.0000 0.5000 0.0000 1
B1 B 0.0000 0.0000 0.5000 1
Os1 Os 0.0000 0.0000 0.0000 1
Pd1 Pd 0.5000 0.5000 0.5000 1
```

Results
DOS(E_F) = 4.73 states/eV/f.u.
magnetic moment = 0.00 μB/cell
mass density = 8.53 g/cm3
formation energy = 1200 meV/atom

---

Record 6
Entry from Alexandria: a geometry-optimized TaTeSeN2 structure (PBE).

```
data_TaTeSeN2
_cell_length_a 4.0316
_cell_length_b 4.0316
_cell_length_c 5.3145
_cell_angle_alpha 90.00
_cell_angle_beta 90.00
_cell_angle_gamma 90.00
_space_group_name_H-M_alt 'P 4/m m m'
_space_group_IT_number 123
_space_group_name_Hall '-P 4 2'
loop_
_atom_site_label
_atom_site_type_symbol
_atom_site_fract_x
_atom_site_fract_y
_atom_site_fract_z
_atom_site_occupancy
Ta1 Ta 0.0000 0.0000 0.0000 1
Te1 Te 0.5000 0.5000 0.5000 1
Se1 Se 0.5000 0.5000 0.0000 1
N1 N 0.0000 0.5000 0.5000 1
```

Results
DOS(E_F) = 4.55 states/eV/f.u.
energy relative to the elements, uncorrected = 1.696 eV/atom
magnetic moment = 1.50 μB/cell
mass density = 7.99 g/cm3
E above lowest polymorph = 1.367 eV per atom

---

Record 7
Entry from Alexandria: a geometry-optimized Cr2Ge2Pt structure (PBE).

```
data_Cr2Ge2Pt
_cell_length_a 7.0269
_cell_length_b 7.0269
_cell_length_c 2.8621
_cell_angle_alpha 90.00
_cell_angle_beta 90.00
_cell_angle_gamma 90.00
_space_group_name_H-M_alt 'P 4/m b m'
_space_group_IT_number 127
_space_group_name_Hall '-P 4 2ab'
loop_
_atom_site_label
_atom_site_type_symbol
_atom_site_fract_x
_atom_site_fract_y
_atom_site_fract_z
_atom_site_occupancy
Cr1 Cr 0.1094 0.3906 0.0000 1
Ge1 Ge 0.1847 0.6847 0.5000 1
Pt1 Pt 0.0000 0.0000 0.0000 1
```

Results
DOS(E_F) = 3.23 states/eV/f.u.
magnetic moment = 0.00 μB/cell
mass density = 10.44 g/cm3
formation energy = 77 meV/atom
E above lowest polymorph = 0.010 eV per atom

---

Record 8
Entry from Alexandria: a geometry-optimized HoHfTc structure (PBE).

```
data_HoHfTc
_cell_length_a 8.6020
_cell_length_b 12.5429
_cell_length_c 7.2369
_cell_angle_alpha 90.00
_cell_angle_beta 90.00
_cell_angle_gamma 90.00
_space_group_name_H-M_alt 'I m a 2'
_space_group_IT_number 46
loop_
_space_group_symop_operation_xyz
'x,y,z'
'-x,-y,z'
'-x+1/2,y,z'
'x+1/2,-y,z'
'x+1/2,y+1/2,z+1/2'
'-x+1/2,-y+1/2,z+1/2'
'-x,y+1/2,z+1/2'
'x,-y+1/2,z+1/2'
loop_
_atom_site_label
_atom_site_type_symbol
_atom_site_fract_x
_atom_site_fract_y
_atom_site_fract_z
_atom_site_occupancy
Ho1 Ho 0.2500 0.9997 0.0000 1
Ho2 Ho 0.2500 0.2091 0.3723 1
Ho3 Ho 0.2500 0.7095 0.8723 1
Hf1 Hf 0.0000 0.0000 0.3312 1
Hf2 Hf 0.0003 0.1251 0.7068 1
Tc1 Tc 0.0006 0.1668 0.0815 1
Tc2 Tc 0.2500 0.9997 0.5814 1
```

Results
DOS(E_F) = 1.54 states/eV/f.u.
magnetic moment = 0.00 μB/cell
mass density = 11.27 g/cm3
formation energy = -145 meV/atom
E above lowest polymorph = 0.035 eV per atom

---

Record 9
Entry from Alexandria: a geometry-optimized PuH4Pd structure (PBE).

```
data_PuH4Pd
_cell_length_a 3.6371
_cell_length_b 3.6371
_cell_length_c 8.4613
_cell_angle_alpha 90.00
_cell_angle_beta 90.00
_cell_angle_gamma 90.00
_space_group_name_H-M_alt 'P 4/n m m'
_space_group_IT_number 129
loop_
_space_group_symop_operation_xyz
'x,y,z'
'-x,-y,-z'
'-y+1/2,x,z'
'y+1/2,-x,-z'
'-x+1/2,-y+1/2,z'
'x+1/2,y+1/2,-z'
'y,-x+1/2,z'
'-y,x+1/2,-z'
'x+1/2,-y,-z'
'-x+1/2,y,z'
'-y,-x,-z'
'y,x,z'
'-x,y+1/2,-z'
'x,-y+1/2,z'
'y+1/2,x+1/2,-z'
'-y+1/2,-x+1/2,z'
loop_
_atom_site_label
_atom_site_type_symbol
_atom_site_fract_x
_atom_site_fract_y
_atom_site_fract_z
_atom_site_occupancy
Pu1 Pu 0.2500 0.2500 0.1583 1
H1 H 0.2500 0.2500 0.8416 1
H2 H 0.2500 0.7500 0.0000 1
H3 H 0.2500 0.7500 0.3563 1
Pd1 Pd 0.2500 0.2500 0.6226 1
```

Results
DOS(E_F) = 9.71 states/eV/f.u.
magnetic moment = 10.43 μB/cell
mass density = 10.52 g/cm3
E above lowest polymorph = 0.000 eV per atom

---

Record 10
Entry from Alexandria: a geometry-optimized AgHg2Br5 structure (PBE).

```
data_AgHg2Br5
_cell_length_a 6.6351
_cell_length_b 7.4006
_cell_length_c 7.6943
_cell_angle_alpha 68.87
_cell_angle_beta 66.81
_cell_angle_gamma 63.59
_space_group_name_H-M_alt 'P 1'
_space_group_IT_number 1
loop_
_space_group_symop_operation_xyz
'x,y,z'
loop_
_atom_site_label
_atom_site_type_symbol
_atom_site_fract_x
_atom_site_fract_y
_atom_site_fract_z
_atom_site_occupancy
Ag1 Ag 0.0000 0.0000 0.0000 1
Hg1 Hg 0.3730 0.1179 0.4835 1
Hg2 Hg 0.8634 0.4659 0.1656 1
Br1 Br 0.0240 0.3768 0.8106 1
Br2 Br 0.3013 0.4472 0.2253 1
Br3 Br 0.3931 0.7918 0.7405 1
Br4 Br 0.6486 0.8598 0.1297 1
Br5 Br 0.8953 0.0976 0.3851 1
```

Results
energy relative to the elements, uncorrected = -0.384 eV/atom
magnetic moment = 0.00 μB/cell
mass density = 4.98 g/cm3

---

Record 11
Entry from Alexandria: a geometry-optimized BeRu2Au structure (PBE).

```
data_BeRu2Au
_cell_length_a 2.7663
_cell_length_b 4.2352
_cell_length_c 9.2472
_cell_angle_alpha 90.00
_cell_angle_beta 90.00
_cell_angle_gamma 90.00
_space_group_name_H-M_alt 'I m m m'
_space_group_IT_number 71
_space_group_name_Hall '-I 2 2'
loop_
_atom_site_label
_atom_site_type_symbol
_atom_site_fract_x
_atom_site_fract_y
_atom_site_fract_z
_atom_site_occupancy
Be1 Be 0.0000 0.0000 0.0000 1
Ru1 Ru 0.0000 0.5000 0.2914 1
Au1 Au 0.0000 0.0000 0.5000 1
```

Results
DOS(E_F) = 4.31 states/eV/f.u.
magnetic moment = 0.00 μB/cell
mass density = 12.51 g/cm3
formation energy = 101 meV/atom

---

Record 12
Entry from Alexandria: a geometry-optimized Sc6C2SBr3 structure (PBE).

```
data_Sc6C2SBr3
_cell_length_a 6.2218
_cell_length_b 10.7801
_cell_length_c 6.9393
_cell_angle_alpha 90.00
_cell_angle_beta 107.39
_cell_angle_gamma 90.00
_space_group_name_H-M_alt 'C 1 2/m 1'
_space_group_IT_number 12
loop_
_space_group_symop_operation_xyz
'x,y,z'
'-x,-y,-z'
'-x,y,-z'
'x,-y,z'
'x+1/2,y+1/2,z'
'-x+1/2,-y+1/2,-z'
'-x+1/2,y+1/2,-z'
'x+1/2,-y+1/2,z'
loop_
_atom_site_label
_atom_site_type_symbol
_atom_site_fract_x
_atom_site_fract_y
_atom_site_fract_z
_atom_site_occupancy
Sc1 Sc 0.1985 0.0000 0.1732 1
Sc2 Sc 0.2375 0.3203 0.1735 1
C1 C 0.0000 0.1667 0.0000 1
S1 S 0.0000 0.5000 0.0000 1
Br1 Br 0.0000 0.0000 0.5000 1
Br2 Br 0.0000 0.3347 0.5000 1
```

Results
DOS(E_F) = 3.64 states/eV/f.u.
energy relative to the elements, uncorrected = -1.151 eV/atom
magnetic moment = 0.00 μB/cell
mass density = 4.23 g/cm3

---

Among the records above, which one has the lowest mass density?
YPHN2

---

The highest mass density belongs to which entry?
BeRu2Au